Entry 1:
Computed, not measured: a PBEsol-optimized structure of Bi2P3O12 at the meta-GGA SCAN level of DFT.

Summary:
E, eV per atom: -17.251
Raw formation energy, meV/atom: -1773
Symmetry: No. 148
Crystal system: trigonal
M_tot, μB per formula unit: 0.00

Cell lengths 8.580, 8.580, 9.377 Å; angles 62.77, 62.77, 60.00 degrees
Sites, in units of the cell vectors:
O 0.591 0.039 0.581
O 0.856 0.139 0.252
O 0.495 0.164 0.811
O 0.848 0.800 0.884
O 0.469 0.848 0.884
O 0.470 0.505 0.189
P 0.746 0.451 0.755
O 0.247 0.144 0.748
O 0.861 0.247 0.748
O 0.836 0.470 0.189
O 0.139 0.753 0.252
O 0.039 0.790 0.581
O 0.753 0.856 0.252
O 0.144 0.861 0.748
P 0.951 0.254 0.245
O 0.210 0.409 0.419
O 0.505 0.836 0.189
Bi 0.856 0.856 0.433
Bi 0.344 0.344 0.967
O 0.409 0.961 0.419
O 0.790 0.591 0.581
O 0.530 0.495 0.811
O 0.152 0.200 0.116
P 0.451 0.049 0.755
O 0.164 0.530 0.811
P 0.549 0.951 0.245
O 0.531 0.152 0.116
P 0.049 0.746 0.755
O 0.800 0.469 0.884
O 0.961 0.210 0.419
P 0.254 0.549 0.245
Bi 0.144 0.144 0.567
Bi 0.656 0.656 0.033
O 0.200 0.531 0.116

***

Entry 2:
Computed, not measured: a PBEsol-optimized structure of BiP2O7 at the meta-GGA SCAN level of DFT.

Summary:
E, eV per atom: -16.244
Raw formation energy, meV/atom: -1945
Symmetry: No. 4
Crystal system: monoclinic
M_tot, μB per formula unit: 0.00

Cell lengths 5.135, 7.393, 8.624 Å; angles 90.00, 90.00, 109.75 degrees
Sites, in units of the cell vectors:
P 0.206 0.100 0.719
O 0.784 0.529 0.494
O 0.363 0.085 0.867
P 0.794 0.900 0.219
O 0.113 0.919 0.620
Bi 0.784 0.275 0.952
O 0.258 0.496 0.292
O 0.216 0.471 0.994
Bi 0.216 0.725 0.452
O 0.054 0.847 0.251
O 0.599 0.396 0.143
O 0.887 0.081 0.120
O 0.410 0.263 0.610
O 0.742 0.504 0.792
P 0.595 0.485 0.636
P 0.405 0.515 0.136
O 0.401 0.604 0.643
O 0.590 0.737 0.110
O 0.946 0.153 0.751
O 0.637 0.915 0.367

***

Entry 3:
Computed, not measured: a PBEsol-optimized structure of BiP2O2 at the meta-GGA SCAN level of DFT.

Summary:
E, eV per atom: -22.722
Raw formation energy, meV/atom: -355
Symmetry: No. 127
Crystal system: tetragonal
M_tot, μB per formula unit: 0.00

Cell lengths 2.723, 8.517, 8.517 Å; angles 90.00, 90.00, 90.00 degrees
Sites, in units of the cell vectors:
O 0.000 0.627 0.127
O 0.000 0.373 0.873
P 0.500 0.712 0.212
P 0.500 0.288 0.788
P 0.500 0.788 0.712
Bi 0.000 0.500 0.500
P 0.500 0.212 0.288
O 0.000 0.873 0.627
Bi 0.000 0.000 0.000
O 0.000 0.127 0.373